[1]
The following is a PBE-GGA calculation of crystalline TbGd2Mg3Ir2Pt at its relaxed geometry, from OQMD.

```
TbGd2Mg3Ir2Pt
1.0
-0.927 0.364 -3.928
-1.993 -7.079 -0.186
-4.961 5.175 1.651
Mg Pt Tb Gd Ir
3 1 1 2 2
direct
0.500 0.247 0.247
0.500 0.753 0.000
0.500 0.000 0.753
0.000 0.000 0.000
0.000 0.587 0.587
0.000 0.413 0.000
0.000 0.000 0.413
0.500 0.666 0.334
0.500 0.334 0.666
```

For the total energy, the calculation gives -5.48 eV/atom.

---

[2]
The following is a PBE-GGA calculation of crystalline GdTm2Mg3Ir2Pt at its relaxed geometry, from OQMD.

```
GdTm2Mg3Ir2Pt
1.0
-0.796 -2.944 2.623
3.630 3.642 5.188
-7.160 1.103 -0.934
Tm Mg Pt Gd Ir
2 3 1 1 2
direct
0.000 0.000 0.411
0.000 0.411 0.000
0.500 0.752 0.001
0.500 0.248 0.248
0.500 0.001 0.752
0.000 0.004 0.004
0.000 0.585 0.585
0.500 0.330 0.669
0.500 0.669 0.330
```

For the total energy, the calculation gives -5.46 eV/atom.

---

[3]
The following is a PBE-GGA calculation of crystalline Gd2YMg3Ir2Pt at its relaxed geometry, from OQMD.

```
Gd2YMg3Ir2Pt
1.0
4.054 0.000 0.000
0.000 6.364 3.673
0.000 -6.364 3.673
Mg Y Ir Pt Gd
3 1 2 1 2
direct
0.500 0.000 0.247
0.500 0.753 0.753
0.500 0.247 0.000
0.000 0.413 0.413
0.500 0.333 0.667
0.500 0.667 0.333
0.000 0.000 0.000
0.000 0.000 0.587
0.000 0.587 0.000
```

For the total energy, the calculation gives -5.68 eV/atom.

---

[4]
The following is a PBE-GGA calculation of crystalline Gd3Mg3Tl2Ir at its relaxed geometry, from OQMD.

```
Gd3Mg3Tl2Ir
1.0
-0.182 6.872 -3.012
-6.392 -3.751 1.179
-0.296 1.799 4.122
Tl Mg Gd Ir
2 3 3 1
direct
0.333 0.667 0.500
0.667 0.333 0.500
0.229 0.229 0.500
0.000 0.771 0.500
0.771 0.000 0.500
0.611 0.611 0.000
0.000 0.389 0.000
0.389 0.000 0.000
0.000 0.000 0.000
```

For the total energy, the calculation gives -4.00 eV/atom.

---

[5]
The following is a PBE-GGA calculation of crystalline Gd3Mg3Zn2Ir at its relaxed geometry, from OQMD.

```
Gd3Mg3Zn2Ir
1.0
7.259 0.000 0.000
-3.630 6.287 0.000
0.000 0.000 4.448
Mg Ir Zn Gd
3 1 2 3
direct
0.000 0.765 0.500
0.235 0.235 0.500
0.765 0.000 0.500
0.000 0.000 0.000
0.333 0.667 0.500
0.667 0.333 0.500
0.000 0.402 0.000
0.402 0.000 0.000
0.598 0.598 0.000
```

For the total energy, the calculation gives -3.70 eV/atom.

---

[6]
The following is a PBE-GGA calculation of crystalline GdMoIr at its relaxed geometry, from OQMD.

```
GdMoIr
1.0
2.272 1.312 3.711
-2.272 1.312 3.711
0.000 -2.624 3.711
Ir Gd Mo
1 1 1
direct
0.000 0.000 0.000
0.750 0.750 0.750
0.250 0.250 0.250
```

As for the formation enthalpy at 0 K: 0.20 eV/atom.

---

[7]
The following is a PBE-GGA calculation of crystalline Gd2IrOsN2O2 at its relaxed geometry, from OQMD.

```
Gd2IrOsN2O2
1.0
3.850 0.000 0.000
0.000 3.850 0.000
0.000 0.000 7.603
Gd O N Ir Os
2 2 2 1 1
direct
0.500 0.000 0.349
0.000 0.500 0.651
0.500 0.500 0.500
0.000 0.000 0.500
0.000 0.500 0.121
0.500 0.000 0.879
0.500 0.500 0.000
0.000 0.000 0.000
```

For the total energy, the calculation gives -8.22 eV/atom.

---

[8]
The following is a PBE-GGA calculation of crystalline TbGdIr2N2O2 at its relaxed geometry, from OQMD.

```
TbGdIr2N2O2
1.0
-2.978 -1.004 -2.403
1.806 -3.426 -0.807
-3.453 -3.137 5.591
N Gd Ir O Tb
2 1 2 2 1
direct
0.500 0.500 0.606
0.000 0.000 0.398
0.000 0.000 0.849
0.500 0.000 0.499
0.000 0.500 0.499
0.500 0.000 0.000
0.000 0.500 0.000
0.500 0.500 0.148
```

For the total energy, the calculation gives -7.89 eV/atom.

---

[9]
The following is a PBE-GGA calculation of crystalline TbGdP2Ir2N2 at its relaxed geometry, from OQMD.

```
TbGdP2Ir2N2
1.0
-0.801 -0.805 -3.844
3.903 0.273 -0.870
0.906 -8.119 1.512
Tb Ir P Gd N
1 2 2 1 2
direct
0.000 0.000 0.125
0.000 0.500 0.499
0.500 0.000 0.499
0.000 0.000 0.654
0.500 0.500 0.344
0.500 0.500 0.874
0.000 0.500 0.001
0.500 0.000 0.001
```

For the total energy, the calculation gives -7.65 eV/atom.

---

[10]
The following is a PBE-GGA calculation of crystalline NaGdIr at its relaxed geometry, from OQMD.

```
NaGdIr
1.0
-1.469 -0.873 4.397
-0.845 3.577 2.958
-4.430 1.027 1.254
Ir Gd Na
1 1 1
direct
0.000 0.000 0.000
0.750 0.750 0.750
0.250 0.250 0.250
```

Its energy above the most stable polymorph in this dataset is 0 kJ/mol of formula units.

---

[11]
The following is a PBE-GGA calculation of crystalline NdGd2NiSn3Ir2 at its relaxed geometry, from OQMD.

```
NdGd2NiSn3Ir2
1.0
3.978 0.000 0.000
0.000 6.505 3.739
0.000 -6.505 3.739
Nd Ir Ni Gd Sn
1 2 1 2 3
direct
0.000 0.411 0.411
0.500 0.331 0.670
0.500 0.670 0.331
0.000 0.997 0.997
0.000 0.591 0.000
0.000 0.000 0.591
0.500 0.751 0.751
0.500 0.998 0.250
0.500 0.250 0.998
```

For the total energy, the calculation gives -6.25 eV/atom.

---

[12]
The following is a PBE-GGA calculation of crystalline NdGd2Ir2PdPb3 at its relaxed geometry, from OQMD.

```
NdGd2Ir2PdPb3
1.0
-3.724 0.531 1.114
-1.136 -7.769 -0.095
2.467 3.546 6.557
Ir Pb Nd Gd Pd
2 3 1 2 1
direct
0.500 0.332 0.671
0.500 0.671 0.332
0.500 0.736 0.736
0.500 0.265 0.999
0.500 0.999 0.265
0.000 0.409 0.409
0.000 0.591 0.001
0.000 0.001 0.591
0.000 0.997 0.997
```

For the total energy, the calculation gives -5.95 eV/atom.

---

[13]
The following is a PBE-GGA calculation of crystalline NdGd2Sn3Ir2Pd at its relaxed geometry, from OQMD.

```
NdGd2Sn3Ir2Pd
1.0
-3.162 2.520 -0.325
-4.684 -5.655 1.715
2.885 4.324 5.463
Sn Nd Gd Ir Pd
3 1 2 2 1
direct
0.500 0.258 0.258
0.500 0.742 0.001
0.500 0.001 0.742
0.000 0.587 0.587
0.000 0.999 0.412
0.000 0.412 0.999
0.500 0.330 0.668
0.500 0.668 0.330
0.000 0.003 0.003
```

For the total energy, the calculation gives -6.28 eV/atom.

---

[14]
The following is a PBE-GGA calculation of crystalline NdGd2Sn3IrPd2 at its relaxed geometry, from OQMD.

```
NdGd2Sn3IrPd2
1.0
-0.662 2.941 2.736
-7.179 -2.277 0.711
5.358 -2.940 4.458
Gd Sn Nd Pd Ir
2 3 1 2 1
direct
0.000 0.001 0.596
0.000 0.596 0.001
0.500 0.252 0.998
0.500 0.747 0.747
0.500 0.998 0.252
0.000 0.407 0.407
0.500 0.670 0.332
0.500 0.332 0.670
0.000 0.997 0.997
```

For the total energy, the calculation gives -5.94 eV/atom.

---

[15]
The following is a PBE-GGA calculation of crystalline NdGd2Zn3Ir2Pt at its relaxed geometry, from OQMD.

```
NdGd2Zn3Ir2Pt
1.0
3.954 0.000 0.000
0.000 6.288 3.617
0.000 -6.288 3.617
Ir Zn Nd Pt Gd
2 3 1 1 2
direct
0.500 0.672 0.331
0.500 0.331 0.672
0.500 0.997 0.249
0.500 0.752 0.752
0.500 0.249 0.997
0.000 0.412 0.412
0.000 0.996 0.996
0.000 0.591 0.000
0.000 0.000 0.591
```

As for the formation enthalpy at 0 K: -0.75 eV/atom.

---

[16]
The following is a PBE-GGA calculation of crystalline GdNiIr at its relaxed geometry, from OQMD.

```
GdNiIr
1.0
0.000 3.062 3.062
3.062 0.000 3.062
3.062 3.062 0.000
Gd Ni Ir
1 1 1
direct
0.250 0.250 0.250
0.000 0.000 0.000
0.750 0.750 0.750
```

As for the formation enthalpy at 0 K: -0.16 eV/atom.

---

[17]
The following is a PBE-GGA calculation of crystalline TbGd2NiIr2Pb3 at its relaxed geometry, from OQMD.

```
TbGd2NiIr2Pb3
1.0
3.797 0.000 0.000
0.000 6.729 3.887
0.000 -6.729 3.887
Gd Ni Pb Tb Ir
2 1 3 1 2
direct
0.000 0.409 0.000
0.000 0.000 0.409
0.000 0.000 0.000
0.500 0.256 0.256
0.500 0.744 0.000
0.500 0.000 0.744
0.000 0.591 0.591
0.500 0.334 0.666
0.500 0.666 0.334
```

For the total energy, the calculation gives -5.92 eV/atom.

---

[18]
The following is a PBE-GGA calculation of crystalline Tb2GdNiIr2Pb3 at its relaxed geometry, from OQMD.

```
Tb2GdNiIr2Pb3
1.0
3.791 0.000 0.000
0.000 6.736 3.885
0.000 -6.736 3.885
Tb Pb Ir Gd Ni
2 3 2 1 1
direct
0.000 0.591 0.000
0.000 0.000 0.591
0.500 0.257 0.000
0.500 0.000 0.257
0.500 0.743 0.743
0.500 0.333 0.667
0.500 0.667 0.333
0.000 0.409 0.409
0.000 0.000 0.000
```

For the total energy, the calculation gives -5.92 eV/atom.

---

[19]
The following is a PBE-GGA calculation of crystalline GdTm2NiIr2Pb3 at its relaxed geometry, from OQMD.

```
GdTm2NiIr2Pb3
1.0
3.742 0.000 0.000
0.000 6.718 3.858
0.000 -6.718 3.858
Gd Pb Ir Tm Ni
1 3 2 2 1
direct
0.000 0.408 0.408
0.500 0.999 0.258
0.500 0.743 0.743
0.500 0.258 0.999
0.500 0.671 0.332
0.500 0.332 0.671
0.000 0.592 0.000
0.000 0.000 0.592
0.000 0.998 0.998
```

For the total energy, the calculation gives -5.88 eV/atom.

---

[20]
The following is a PBE-GGA calculation of crystalline Gd2Si4NiIr at its relaxed geometry, from OQMD.

```
Gd2Si4NiIr
1.0
-3.779 -1.580 0.341
3.312 -7.282 2.959
2.680 -5.044 6.334
Gd Si Ir Ni
2 4 1 1
direct
0.000 0.892 0.892
0.500 0.102 0.102
0.500 0.754 0.754
0.000 0.536 0.536
0.000 0.255 0.255
0.500 0.459 0.459
0.000 0.678 0.678
0.500 0.323 0.323
```

For the total energy, the calculation gives -6.57 eV/atom.

---

[21]
The following is a PBE-GGA calculation of crystalline Gd3NiSn3Ir2 at its relaxed geometry, from OQMD.

```
Gd3NiSn3Ir2
1.0
7.478 0.000 0.000
-3.739 6.476 0.000
0.000 0.000 3.933
Sn Ir Ni Gd
3 2 1 3
direct
0.749 0.000 0.500
0.251 0.251 0.500
0.000 0.749 0.500
0.667 0.333 0.500
0.333 0.667 0.500
0.000 0.000 0.000
0.590 0.590 0.000
0.000 0.410 0.000
0.410 0.000 0.000
```

For the total energy, the calculation gives -6.26 eV/atom.

---

[22]
The following is a PBE-GGA calculation of crystalline GdTm2NiSn3Ir2 at its relaxed geometry, from OQMD.

```
GdTm2NiSn3Ir2
1.0
-0.787 3.039 2.019
4.513 -2.510 5.536
2.798 4.382 -5.504
Sn Tm Ni Ir Gd
3 2 1 2 1
direct
0.500 0.744 0.744
0.500 0.999 0.256
0.500 0.256 0.999
0.000 0.000 0.593
0.000 0.593 0.000
0.000 0.998 0.998
0.500 0.332 0.671
0.500 0.671 0.332
0.000 0.407 0.407
```

For the total energy, the calculation gives -6.23 eV/atom.

---

[23]
The following is a PBE-GGA calculation of crystalline Gd3ZnNiSn2Ir2 at its relaxed geometry, from OQMD.

```
Gd3ZnNiSn2Ir2
1.0
3.862 0.000 0.000
0.000 6.422 3.719
0.000 -6.422 3.719
Gd Sn Ni Zn Ir
3 2 1 1 2
direct
0.500 0.994 0.593
0.500 0.593 0.994
0.500 0.423 0.423
0.000 0.246 0.001
0.000 0.001 0.246
0.500 0.997 0.997
0.000 0.748 0.748
0.000 0.666 0.331
0.000 0.331 0.666
```

For the total energy, the calculation gives -5.88 eV/atom.

---

[24]
The following is a PBE-GGA calculation of crystalline Gd3Zn2NiSnIr2 at its relaxed geometry, from OQMD.

```
Gd3Zn2NiSnIr2
1.0
3.889 0.000 0.000
0.000 6.329 3.634
0.000 -6.329 3.634
Gd Ir Sn Ni Zn
3 2 1 1 2
direct
0.000 0.004 0.588
0.000 0.399 0.399
0.000 0.588 0.004
0.500 0.665 0.333
0.500 0.333 0.665
0.500 0.763 0.763
0.000 0.003 0.003
0.500 0.247 0.000
0.500 0.000 0.247
```

For the total energy, the calculation gives -5.52 eV/atom.

---

[25]
The following is a PBE-GGA calculation of crystalline Gd2ZnNiIr at its relaxed geometry, from OQMD.

```
Gd2ZnNiIr
1.0
-4.405 -3.092 -0.884
-0.119 3.432 4.237
-0.444 0.581 -5.404
Gd Ni Zn Ir
2 1 1 1
direct
0.698 0.496 0.202
0.295 0.496 0.798
0.740 0.240 0.500
0.992 0.992 0.000
0.276 0.776 0.500
```

As for the formation enthalpy at 0 K: -0.62 eV/atom.